VASP calculation (GGA-PBE) on an optimized crystal structure of Ba2CeCd2As4.

abc: 15.969 4.387 7.836
angles: 90.00 109.69 90.00
Space group C2/m (No. 12)
Symmetry-distinct sites (fractional):
1 Ba 0.132 0.000 0.073
2 Ce 0.000 0.000 0.500
3 Cd 0.174 0.500 0.491
4 As 0.008 0.500 0.251
5 As 0.202 0.000 0.708

Output
DOS(E_F) = 0.32 states/eV/f.u.
E_form = -797 kJ/mol of formula units
Spin magnetization = 0.012 μB per atom


VASP calculation (GGA-PBE) on an optimized crystal structure of BaCeCdAs3.

abc: 8.010 4.479 9.578
angles: 90.00 95.91 90.00
Space group P2_1/m (No. 11)
Symmetry-distinct sites (fractional):
1 Ba 0.163 0.250 0.204
2 Ce 0.314 0.750 0.611
3 Cd 0.428 0.250 0.900
4 As 0.028 0.250 0.564
5 As 0.242 0.750 0.926
6 As 0.448 0.750 0.345

Output
DOS(E_F) = 4.99 states/eV/f.u.
E_form = -522 kJ/mol of formula units
Spin magnetization = 0.082 μB per atom


VASP calculation (GGA-PBE) on an optimized crystal structure of Cs2BaCdAs2.

abc: 7.612 16.646 7.518
angles: 90.00 90.00 90.00
Space group Ibam (No. 72)
Symmetry-distinct sites (fractional):
1 Cs 0.209 0.181 0.000
2 Ba 0.000 0.500 0.250
3 Cd 0.000 0.000 0.250
4 As 0.212 0.090 0.500

Output
E_form = -332 kJ/mol of formula units
Spin magnetization = 0.000 μB per atom


VASP calculation (GGA-PBE) on an optimized crystal structure of Ba2CdCuAs.

abc: 5.905 5.905 4.936
angles: 90.00 90.00 90.00
Space group P4/mmm (No. 123)
Symmetry-distinct sites (fractional):
1 Ba 0.000 0.500 0.000
2 Cd 0.000 0.000 0.500
3 Cu 0.000 0.000 0.000
4 As 0.500 0.500 0.500

Output
DOS(E_F) = 2.36 states/eV/f.u.
E_form = -115 kJ/mol of formula units
Spin magnetization = 0.000 μB per atom


VASP calculation (GGA-PBE) on an optimized crystal structure of Ba2CdGa2As4.

abc: 16.431 4.248 7.425
angles: 90.00 110.10 90.00
Space group C2/m (No. 12)
Symmetry-distinct sites (fractional):
1 Ba 0.126 0.000 0.047
2 Cd 0.000 0.000 0.500
3 Ga 0.169 0.500 0.487
4 As 0.017 0.500 0.259
5 As 0.215 0.000 0.691

Output
DOS(E_F) = 0.95 states/eV/f.u.
E_form = -530 kJ/mol of formula units
Spin magnetization = 0.000 μB per atom


VASP calculation (GGA-PBE) on an optimized crystal structure of BaCdGaAs2.

abc: 7.172 5.882 6.304
angles: 90.00 101.48 90.00
Space group P2/c (No. 13)
Symmetry-distinct sites (fractional):
1 Ba 0.000 0.241 0.250
2 Cd 0.500 0.429 0.250
3 Ga 0.500 0.000 0.000
4 As 0.235 0.247 0.810

Output
DOS(E_F) = 1.34 states/eV/f.u.
E_form = -203 kJ/mol of formula units
Spin magnetization = 0.000 μB per atom


VASP calculation (GGA-PBE) on an optimized crystal structure of BaCdAsH2.

abc: 4.567 11.876 6.989
angles: 90.00 90.00 90.00
Space group Cmcm (No. 63)
Symmetry-distinct sites (fractional):
1 Ba 0.000 0.217 0.250
2 Cd 0.000 0.500 0.000
3 As 0.000 0.060 0.750
4 H 0.000 0.343 0.563

Output
DOS(E_F) = 1.35 states/eV/f.u.
Spin magnetization = 0.000 μB per atom


VASP calculation (GGA-PBE) on an optimized crystal structure of BaCdAsH.

abc: 4.5921 4.5921 10.9640
angles: 90.00 90.00 120.00
Space group P6_3mc (No. 186)
Symmetry-distinct sites (fractional):
1 Ba 0.3333 0.6667 0.0000
2 Cd 0.0000 0.0000 0.2469
3 As 0.3333 0.6667 0.3153
4 H 0.0000 0.0000 0.0725

Output
Spin magnetization = 0.000 μB per atom


VASP calculation (GGA-PBE) on an optimized crystal structure of BaHf2CdAs.

abc: 5.241 5.241 6.236
angles: 90.00 90.00 90.00
Space group P4/mmm (No. 123)
Symmetry-distinct sites (fractional):
1 Ba 0.000 0.000 0.000
2 Hf 0.000 0.500 0.500
3 Cd 0.000 0.000 0.500
4 As 0.500 0.500 0.000

Output
DOS(E_F) = 5.19 states/eV/f.u.
E_form = 468 kJ/mol of formula units
Spin magnetization = 0.000 μB per atom


VASP calculation (GGA-PBE) on an optimized crystal structure of BaCdHgAs.

abc: 7.765 7.765 7.765
angles: 90.00 90.00 90.00
Space group F-43m (No. 216)
Symmetry-distinct sites (fractional):
1 Ba 0.000 0.000 0.000
2 Cd 0.000 0.000 0.500
3 Hg 0.250 0.250 0.750
4 As 0.250 0.250 0.250

Output
DOS(E_F) = 1.38 states/eV/f.u.
E_form = -162 kJ/mol of formula units
Spin magnetization = 0.000 μB per atom


VASP calculation (GGA-PBE) on an optimized crystal structure of Ba2CdAsIr.

abc: 6.239 6.239 4.669
angles: 90.00 90.00 90.00
Space group P4/mmm (No. 123)
Symmetry-distinct sites (fractional):
1 Ba 0.000 0.500 0.000
2 Cd 0.000 0.000 0.500
3 As 0.500 0.500 0.500
4 Ir 0.500 0.500 0.000

Output
DOS(E_F) = 3.97 states/eV/f.u.
E_form = -181 kJ/mol of formula units
Spin magnetization = 0.000 μB per atom


VASP calculation (GGA-PBE) on an optimized crystal structure of BaLaCd2As.

abc: 5.856 5.856 5.875
angles: 90.00 90.00 90.00
Space group P4/mmm (No. 123)
Symmetry-distinct sites (fractional):
1 Ba 0.000 0.000 0.000
2 La 0.500 0.500 0.500
3 Cd 0.000 0.500 0.000
4 As 0.000 0.000 0.500

Output
DOS(E_F) = 4.52 states/eV/f.u.
E_form = 194 kJ/mol of formula units
Spin magnetization = 0.001 μB per atom


VASP calculation (GGA-PBE) on an optimized crystal structure of BaLiCd2As.

abc: 4.914 4.914 6.116
angles: 90.00 90.00 90.00
Space group P4/mmm (No. 123)
Symmetry-distinct sites (fractional):
1 Ba 0.000 0.000 0.000
2 Li 0.000 0.000 0.500
3 Cd 0.000 0.500 0.500
4 As 0.500 0.500 0.000

Output
DOS(E_F) = 2.76 states/eV/f.u.
E_form = 8 kJ/mol of formula units
Spin magnetization = 0.000 μB per atom


VASP calculation (GGA-PBE) on an optimized crystal structure of Ba4Li2Cd3As6.

abc: 4.663 20.610 17.340
angles: 90.00 90.00 90.00
Space group Cmcm (No. 63)
Symmetry-distinct sites (fractional):
1 Ba 0.000 0.017 0.121
2 Ba 0.000 0.173 0.570
3 Li 0.000 0.150 0.250
4 Li 0.000 0.437 0.250
5 Cd 0.000 0.297 0.250
6 Cd 0.000 0.351 0.624
7 As 0.000 0.119 0.750
8 As 0.000 0.220 0.118
9 As 0.000 0.432 0.750
10 As 0.000 0.439 0.013

Output
DOS(E_F) = 0.30 states/eV/f.u.
E_form = -1209 kJ/mol of formula units
Spin magnetization = 0.000 μB per atom


VASP calculation (GGA-PBE) on an optimized crystal structure of Ba2Li3CdAs4.

abc: 4.522 4.522 11.214
angles: 90.00 90.00 90.00
Space group P-4m2 (No. 115)
Symmetry-distinct sites (fractional):
1 Ba 0.000 0.500 0.240
2 Li 0.000 0.500 0.878
3 Li 0.500 0.500 0.500
4 Cd 0.000 0.000 0.500
5 As 0.000 0.000 0.000
6 As 0.000 0.500 0.644
7 As 0.500 0.500 0.000

Output
DOS(E_F) = 1.75 states/eV/f.u.
E_form = -789 kJ/mol of formula units
Spin magnetization = 0.000 μB per atom


VASP calculation (GGA-PBE) on an optimized crystal structure of BaLiCdAs2.

abc: 4.502 4.502 12.235
angles: 90.00 90.00 90.00
Space group I-4m2 (No. 119)
Symmetry-distinct sites (fractional):
1 Ba 0.000 0.000 0.000
2 Li 0.000 0.500 0.750
3 Cd 0.000 0.500 0.250
4 As 0.000 0.000 0.380

Output
DOS(E_F) = 2.73 states/eV/f.u.
E_form = -344 kJ/mol of formula units
Spin magnetization = 0.000 μB per atom


VASP calculation (GGA-PBE) on an optimized crystal structure of Ba2LiCdAs.

abc: 6.432 6.432 4.832
angles: 90.00 90.00 90.00
Space group P4/mmm (No. 123)
Symmetry-distinct sites (fractional):
1 Ba 0.000 0.500 0.000
2 Li 0.000 0.000 0.500
3 Cd 0.500 0.500 0.500
4 As 0.000 0.000 0.000

Output
DOS(E_F) = 3.99 states/eV/f.u.
E_form = -242 kJ/mol of formula units
Spin magnetization = 0.000 μB per atom


VASP calculation (GGA-PBE) on an optimized crystal structure of Ba3Li2Cd2As4.

abc: 4.6226 4.6226 16.6597
angles: 90.00 90.00 120.00
Space group P-3m1 (No. 164)
Symmetry-distinct sites (fractional):
1 Ba 0.0000 0.0000 0.0000
2 Ba 0.0000 0.0000 0.2685
3 Li 0.3333 0.6667 0.1343
4 Cd 0.3333 0.6667 0.5610
5 As 0.3333 0.6667 0.3896
6 As 0.3333 0.6667 0.8663

Output
DOS(E_F) = 0.18 states/eV/f.u.
E_form = -880 kJ/mol of formula units
Spin magnetization = 0.000 μB per atom


VASP calculation (GGA-PBE) on an optimized crystal structure of BaMg2CdAs.

abc: 7.114 7.114 5.738
angles: 90.00 90.00 90.00
Space group P4/mmm (No. 123)
Symmetry-distinct sites (fractional):
1 Ba 0.000 0.000 0.000
2 Mg 0.000 0.500 0.000
3 Cd 0.500 0.500 0.500
4 As 0.000 0.000 0.500

Output
DOS(E_F) = 2.26 states/eV/f.u.
E_form = 355 kJ/mol of formula units
Spin magnetization = 0.000 μB per atom


VASP calculation (GGA-PBE) on an optimized crystal structure of BaNaCdAs.

abc: 7.848 7.848 7.848
angles: 90.00 90.00 90.00
Space group F-43m (No. 216)
Symmetry-distinct sites (fractional):
1 Ba 0.000 0.000 0.000
2 Na 0.000 0.000 0.500
3 Cd 0.250 0.250 0.750
4 As 0.250 0.250 0.250

Output
E_form = -192 kJ/mol of formula units
Spin magnetization = 0.000 μB per atom


no.,electronic total energy (eV for the cell shown)
1,-76.936
2,-56.256
3,-69.149
4,-14.701
5,-69.820
6,-34.536
7,-62.994
8,-26.859
9,-22.539
10,-37.868
11,-20.151
12,-11.321
13,-10.233
14,-218.747
15,-37.274
16,-35.241
17,-13.836
18,-39.143
19,-6.999
20,-43.180